This record from Alexandria describes a relaxed PWN2F crystal. The functional is PBE with a Hubbard U.

```
5
Lattice="4.009 0.000 0.000 0.000 4.038 0.000 0.000 0.000 4.009" Properties=species:S:1:pos:R:3 pbc="T T T"
P 2.005 2.019 2.005
N 0.000 0.000 2.005
N 2.005 0.000 0.000
W 0.000 0.000 0.000
F 0.000 2.019 0.000
```

Output
- polymorph energy (0 for the lowest one) (meV/atom) = 0